Here is a relaxed BaZnW2 crystal from Alexandria. Energies are from PBE.

* VASP energy: -6.1488 eV/atom
* total moment: 0.00 μB/f.u.
* space group: Imm2 (44)

Cell and atoms, written as CIF:
```
data_BaZnW2
_symmetry_space_group_name_H-M 'P 1'
_symmetry_Int_Tables_number 1
_symmetry_space_group_name_Hall 'P 1'
_cell_length_a 6.135
_cell_length_b 6.135
_cell_length_c 6.135
_cell_angle_alpha 149.04
_cell_angle_beta 124.22
_cell_angle_gamma 65.17
loop_
_atom_site_label
_atom_site_type_symbol
_atom_site_fract_x
_atom_site_fract_y
_atom_site_fract_z
Ba1 Ba 0.242 0.742 0.500
W1 W 0.944 0.944 0.000
Zn1 Zn 0.543 0.543 0.000
W2 W 0.771 0.271 0.500
```